This record from Alexandria describes a relaxed CdCoF crystal. The functional is GGA+U.

abc: 3.128 2.982 5.550
angles: 90.00 101.28 90.00
Each line ends with the local moment (μB).
Element x y z (fractional)
F  0.254  0.500  0.574  0.02
Co  0.067  0.000  0.312  2.06
Cd  0.460  0.500  0.996  -0.04

## Properties
Calculated volume in Å³/cell: 51
Total energy in eV per atom: -3.303
ΔE to the lowest computed polymorph in eV/atom: 0.060
M_tot in μB/cell: 2.03